Record 1
{
  "formula": "Pm2In",
  "functional": "PBE",
  "state": "optimized geometry",
  "e_above_lowest_polymorph_mev_per_atom": 2004,
  "cell": [[4.764, 2.750, 7.779], [-4.764, 2.750, 7.779], [0.000, -5.501, 7.779]],
  "species": ["In", "Pm", "Pm", "Pm", "In", "Pm"],
  "fractional_positions": [[0.500, 0.500, 0.500], [0.375, 0.375, 0.375], [0.375, 0.375, 0.875], [0.375, 0.875, 0.375], [0.250, 0.250, 0.250], [0.875, 0.375, 0.375]]
}

---

Record 2
{
  "formula": "YLu2Cu4Sn4",
  "functional": "PBE",
  "state": "optimized geometry",
  "total_energy_ev_per_cell": -51.576,
  "cell": [[-2.196, 3.484, 7.281], [2.196, -3.484, 7.281], [2.196, 3.484, -7.281]],
  "species": ["Sn", "Cu", "Cu", "Lu", "Sn", "Sn", "Lu", "Y", "Cu", "Sn", "Cu"],
  "fractional_positions": [[0.783, 0.783, 0.000], [0.639, 0.329, 0.310], [0.981, 0.671, 0.310], [0.630, 0.130, 0.500], [0.299, 0.500, 0.799], [0.701, 0.500, 0.201], [0.370, 0.870, 0.500], [0.000, 0.000, 0.000], [0.019, 0.329, 0.690], [0.217, 0.217, 0.000], [0.361, 0.671, 0.690]]
}

---

Record 3
{
  "formula": "KFeCuOs",
  "functional": "PBE",
  "state": "optimized geometry",
  "e_above_lowest_polymorph_mev_per_atom": 103,
  "cell": [[0.000, 3.215, 3.215], [3.215, 0.000, 3.215], [3.215, 3.215, 0.000]],
  "species": ["K", "Fe", "Os", "Cu"],
  "fractional_positions": [[0.500, 0.500, 0.500], [0.000, 0.000, 0.000], [0.250, 0.250, 0.250], [0.750, 0.750, 0.750]]
}

---

Record 4
{
  "formula": "InGaAg2O4",
  "functional": "PBE",
  "state": "optimized geometry",
  "total_energy_ev_per_cell": -40.002,
  "cell": [[3.134, 0.000, 0.000], [-1.567, 2.714, 0.000], [0.000, 0.000, 12.671]],
  "species": ["O", "O", "O", "O", "In", "Ag", "Ga", "Ag"],
  "fractional_positions": [[0.667, 0.333, 0.924], [0.333, 0.667, 0.076], [0.667, 0.333, 0.592], [0.333, 0.667, 0.408], [0.000, 0.000, 0.500], [0.333, 0.667, 0.242], [0.000, 0.000, 0.000], [0.667, 0.333, 0.758]]
}

---

Record 5
{
  "formula": "SiBi2Au",
  "functional": "PBE",
  "state": "optimized geometry",
  "total_energy_ev_per_cell": -15.037,
  "cell": [[0.000, 3.659, 3.659], [3.659, 0.000, 3.659], [3.659, 3.659, 0.000]],
  "species": ["Si", "Bi", "Au", "Bi"],
  "fractional_positions": [[0.500, 0.500, 0.500], [0.750, 0.750, 0.750], [0.250, 0.250, 0.250], [0.000, 0.000, 0.000]]
}

---

Record 6
{
  "formula": "LiCdB4",
  "functional": "PBE",
  "state": "optimized geometry",
  "e_above_lowest_polymorph_mev_per_atom": 0,
  "cell": [[-1.523, 2.630, 3.785], [1.523, -2.630, 3.785], [1.523, 2.630, -3.785]],
  "species": ["B", "B", "B", "Li", "B", "Cd"],
  "fractional_positions": [[0.908, 0.243, 0.666], [0.577, 0.243, 0.334], [0.092, 0.757, 0.334], [0.500, 0.500, 0.000], [0.423, 0.757, 0.666], [0.000, 0.000, 0.000]]
}

---

Record 7
{
  "formula": "MgInNi2",
  "functional": "PBE",
  "state": "optimized geometry",
  "total_energy_ev_per_cell": -97.669,
  "cell": [[-0.649, -3.957, 1.693], [4.460, -2.274, -3.608], [8.816, 2.535, 9.302]],
  "species": ["Ni", "Ni", "In", "Ni", "Ni", "Ni", "Mg", "In", "Mg", "Mg", "In", "In", "Ni", "Mg", "Ni", "In", "Ni", "In", "Ni", "Ni", "Ni", "Ni", "Mg", "Mg"],
  "fractional_positions": [[0.999, 0.750, 0.833], [0.499, 0.250, 0.667], [0.500, 0.000, 0.833], [0.500, 0.250, 0.000], [0.501, 0.750, 0.333], [0.000, 0.250, 0.500], [0.500, 0.500, 0.500], [0.000, 0.500, 0.667], [0.500, 0.500, 0.167], [0.500, 0.500, 0.833], [0.500, 0.000, 0.500], [0.000, 0.500, 0.333], [0.001, 0.750, 0.167], [0.000, 0.000, 0.333], [0.999, 0.250, 0.833], [0.500, 0.000, 0.167], [0.001, 0.250, 0.167], [0.000, 0.500, 0.000], [0.500, 0.750, 0.000], [0.499, 0.750, 0.667], [0.501, 0.250, 0.333], [0.000, 0.750, 0.500], [0.000, 0.000, 0.000], [0.000, 0.000, 0.667]]
}

---

Record 8
{
  "formula": "SmZrNi",
  "functional": "PBE",
  "state": "optimized geometry",
  "e_above_lowest_polymorph_mev_per_atom": 0,
  "formation_energy_mev_per_atom": 100,
  "cell": [[0.000, 3.242, 3.242], [3.242, 0.000, 3.242], [3.242, 3.242, 0.000]],
  "species": ["Sm", "Ni", "Zr"],
  "fractional_positions": [[0.250, 0.250, 0.250], [0.000, 0.000, 0.000], [0.750, 0.750, 0.750]]
}

---

Q: What is the formula in the sixth record?
A: LiCdB4